(1)
# K2CaCuPb, relaxed, DFT PBE
# crystal system	tetragonal
# N(E_F)	5.31	states/eV/cell
# E	-2.157	eV per atom
# spin magnetization	0.0	μB/f.u.
data_K2CaCuPb
_cell_length_a 5.920
_cell_length_b 5.920
_cell_length_c 5.743
_cell_angle_alpha 90.00
_cell_angle_beta 90.00
_cell_angle_gamma 90.00
_symmetry_space_group_name_H-M 'P 4/m m m'
_symmetry_Int_Tables_number 123
_symmetry_space_group_name_Hall '-P 4 2'
loop_
_atom_site_label
_atom_site_type_symbol
_atom_site_fract_x
_atom_site_fract_y
_atom_site_fract_z
K1 K 0.000 0.500 0.000
Ca1 Ca 0.000 0.000 0.500
Cu1 Cu 0.000 0.000 0.000
Pb1 Pb 0.500 0.500 0.500

---

(2)
# Pr5Al2Tl2, relaxed, DFT PBE
# crystal system	orthorhombic
# N(E_F)	38.39	states/eV/cell
# E	-4.315	eV per atom
# spin magnetization	0.0	μB/f.u.
data_Pr5Al2Tl2
_cell_length_a 16.829
_cell_length_b 8.216
_cell_length_c 8.092
_cell_angle_alpha 90.00
_cell_angle_beta 90.00
_cell_angle_gamma 90.00
_symmetry_space_group_name_H-M 'C m c e'
_symmetry_Int_Tables_number 64
_symmetry_space_group_name_Hall '-C 2ac 2'
loop_
_atom_site_label
_atom_site_type_symbol
_atom_site_fract_x
_atom_site_fract_y
_atom_site_fract_z
Pr1 Pr 0.000 0.000 0.000
Pr2 Pr 0.133 0.190 0.321
Al1 Al 0.000 0.112 0.615
Tl1 Tl 0.219 0.000 0.000

---

(3)
# Pr12Tl6Os, relaxed, DFT PBE
# crystal system	trigonal
# N(E_F)	59.78	states/eV/cell
# E	-4.510	eV per atom
# spin magnetization	0.0	μB/f.u.
data_Pr12Tl6Os
_cell_length_a 12.6724
_cell_length_b 12.6724
_cell_length_c 13.8879
_cell_angle_alpha 90.00
_cell_angle_beta 90.00
_cell_angle_gamma 120.00
_symmetry_space_group_name_H-M 'R -3'
_symmetry_Int_Tables_number 148
_symmetry_space_group_name_Hall '-R 3'
loop_
_atom_site_label
_atom_site_type_symbol
_atom_site_fract_x
_atom_site_fract_y
_atom_site_fract_z
Pr1 Pr 0.0362 0.1914 0.3906
Pr2 Pr 0.0413 0.8501 0.8749
Tl1 Tl 0.0084 0.4014 0.2624
Os1 Os 0.0000 0.0000 0.0000

---

(4)
# CaRe2IrF, relaxed, DFT PBE
# crystal system	tetragonal
# N(E_F)	6.73	states/eV/cell
# spin magnetization	0.7	μB/f.u.
# raw formation energy	0.718	eV/atom
data_CaRe2IrF
_cell_length_a 4.221
_cell_length_b 4.221
_cell_length_c 4.381
_cell_angle_alpha 90.00
_cell_angle_beta 90.00
_cell_angle_gamma 90.00
_symmetry_space_group_name_H-M 'P 4/m m m'
_symmetry_Int_Tables_number 123
_symmetry_space_group_name_Hall '-P 4 2'
loop_
_atom_site_label
_atom_site_type_symbol
_atom_site_fract_x
_atom_site_fract_y
_atom_site_fract_z
Ca1 Ca 0.000 0.000 0.000
Re1 Re 0.000 0.500 0.500
Ir1 Ir 0.500 0.500 0.000
F1 F 0.000 0.000 0.500

---

(5)
# Nd5Y12Tm2, relaxed, DFT PBE
# crystal system	triclinic
# N(E_F)	28.35	states/eV/cell
# spin magnetization	0.0	μB/f.u.
# energy relative to the lowest polymorph listed for this composition	0.000	eV per atom
data_Nd5Y12Tm2
_cell_length_a 6.218
_cell_length_b 9.509
_cell_length_c 11.339
_cell_angle_alpha 90.06
_cell_angle_beta 100.53
_cell_angle_gamma 109.06
_symmetry_space_group_name_H-M 'P -1'
_symmetry_Int_Tables_number 2
loop_
_symmetry_equiv_pos_as_xyz
'x,y,z'
'-x,-y,-z'
loop_
_atom_site_label
_atom_site_type_symbol
_atom_site_fract_x
_atom_site_fract_y
_atom_site_fract_z
Nd1 Nd 0.000 0.000 0.000
Nd2 Nd 0.261 0.839 0.526
Nd3 Nd 0.473 0.317 0.948
Y1 Y 0.053 0.369 0.107
Y2 Y 0.104 0.734 0.212
Y3 Y 0.157 0.107 0.317
Y4 Y 0.319 0.213 0.631
Y5 Y 0.369 0.579 0.735
Y6 Y 0.422 0.948 0.841
Tm1 Tm 0.210 0.474 0.422

---

(6)
# PdPt, relaxed, DFT PBE
# crystal system	cubic
# N(E_F)	12.46	states/eV/cell
# E	-5.112	eV per atom
# spin magnetization	0.0	μB/f.u.
data_PdPt
_cell_length_a 5.234
_cell_length_b 5.234
_cell_length_c 5.234
_cell_angle_alpha 90.00
_cell_angle_beta 90.00
_cell_angle_gamma 90.00
_symmetry_space_group_name_H-M 'F m -3 m'
_symmetry_Int_Tables_number 225
_symmetry_space_group_name_Hall '-F 4 2 3'
loop_
_atom_site_label
_atom_site_type_symbol
_atom_site_fract_x
_atom_site_fract_y
_atom_site_fract_z
Pd1 Pd 0.000 0.000 0.000
Pt1 Pt 0.000 0.000 0.500